# 1
NbCd3Ir | Alexandria via LeMat-Bulk | PBE | optimized geometry; ΔE_f = 933 kJ/mol of formula units; calculated total energy = -12.0 eV/cell; crystal system = cubic
1.0
5.232 0.000 0.000
0.000 5.232 0.000
0.000 0.000 5.232
Nb Cd Ir
1 3 1
direct
0.000 0.000 0.000
0.000 0.000 0.500
0.000 0.500 0.000
0.500 0.000 0.000
0.500 0.500 0.500

***

# 2
TmIr4 | Alexandria via LeMat-Bulk | PBE | optimized geometry; ΔE_f = 1137 kJ/mol of formula units; calculated total energy = -28.1 eV/cell; crystal system = cubic
1.0
4.784 0.000 0.000
0.000 4.784 0.000
0.000 0.000 4.784
Tm Ir
1 4
direct
0.000 0.000 0.000
0.000 0.000 0.500
0.000 0.500 0.000
0.500 0.000 0.000
0.500 0.500 0.500

***

# 3
KLiBe2 | Alexandria via LeMat-Bulk | PBE | optimized geometry; ΔE_f = 91 kJ/mol of formula units; calculated total energy = -19.0 eV/cell; crystal system = monoclinic
1.0
2.641 -2.643 0.000
2.641 2.643 0.000
-2.532 0.000 12.988
K Li Be
2 2 4
direct
0.165 0.165 0.342
0.835 0.835 0.658
0.434 0.442 0.870
0.558 0.566 0.130
0.034 0.043 0.080
0.496 0.004 0.000
0.957 0.966 0.920
0.996 0.504 0.000

***

# 4
Cs2ErTlF6 | Alexandria via LeMat-Bulk | PBE | optimized geometry; calculated total energy = -51.3 eV/cell; formation energy (no corrections) = -3037.1 kJ/mol of formula units; crystal system = cubic
1.0
0.000 4.874 4.874
4.874 0.000 4.874
4.874 4.874 0.000
Cs Er Tl F
2 1 1 6
direct
0.250 0.250 0.250
0.750 0.750 0.750
0.000 0.000 0.000
0.500 0.500 0.500
0.222 0.222 0.778
0.222 0.778 0.222
0.222 0.778 0.778
0.778 0.222 0.222
0.778 0.222 0.778
0.778 0.778 0.222

***

The highest calculated total energy belongs to which entry?
NbCd3Ir